Material: TbNd2Si3Pt4
Method: DFT, PBE
State: optimized geometry

```
TbNd2Si3Pt4
1.0
4.289 0.000 0.000
0.000 4.289 0.000
0.000 0.000 10.830
Tb Nd Si Pt
1 2 3 4
direct
0.000 0.000 0.000
0.000 0.500 0.726
0.500 0.000 0.274
0.000 0.500 0.382
0.500 0.000 0.618
0.500 0.500 0.000
0.000 0.000 0.500
0.000 0.500 0.161
0.500 0.000 0.839
0.500 0.500 0.500
```

- ΔE_f (raw): -1.05 eV per atom

---

Material: Tb2NdSi2Pt7
Method: DFT, PBE
State: optimized geometry

```
Tb2NdSi2Pt7
1.0
2.902 -2.868 0.000
2.902 2.868 0.000
-2.093 0.000 13.711
Tb Nd Si Pt
2 1 2 7
direct
0.115 0.115 0.359
0.885 0.885 0.641
0.000 0.000 0.000
0.404 0.404 0.740
0.596 0.596 0.260
0.063 0.562 0.167
0.369 0.369 0.571
0.438 0.937 0.833
0.500 0.500 0.000
0.562 0.063 0.167
0.631 0.631 0.429
0.937 0.438 0.833
```

- ΔE_f (raw): -1.06 eV per atom